PtAuBr3 GGA-PBE optimized geometry; ΔE to the lowest computed polymorph = 0.0 meV/atom; size of the total moment = 0.00 μB per atom; uncorrected formation energy = 1.6 eV per formula unit
1.0
5.131 0.000 0.000
0.000 5.131 0.000
0.000 0.000 5.131
Au Br Pt
1 3 1
Cartesian
2.565 2.565 2.565
0.000 2.565 0.000
2.565 0.000 0.000
0.000 0.000 2.565
0.000 0.000 0.000